Computed, not measured: crystalline Sc2HgPd at its relaxed geometry at the GGA-PBE level of DFT.

Structure (CIF):
```
data_Sc2HgPd
_cell_length_a 4.7240
_cell_length_b 4.7240
_cell_length_c 4.7240
_cell_angle_alpha 60.00
_cell_angle_beta 60.00
_cell_angle_gamma 60.00
_space_group_name_H-M_alt 'P 1'
_space_group_IT_number 1
loop_
_space_group_symop_operation_xyz
'x,y,z'
loop_
_atom_site_label
_atom_site_type_symbol
_atom_site_fract_x
_atom_site_fract_y
_atom_site_fract_z
Sc1 Sc 0.7500 0.7500 0.7500
Sc2 Sc 0.0000 0.0000 0.0000
Pd1 Pd 0.5000 0.5000 0.5000
Hg1 Hg 0.2500 0.2500 0.2500
```

Computed properties:
Total magnetization: 0.00 μB per atom
Crystal system: cubic
Energy of formation: -0.486 eV per atom